Hf3Zr4UN8 | Alexandria | PBE | relaxed; crystal system = trigonal; symmetry = R-3m; calculated volume = 12.3 A^3/atom; total energy = -10.562 eV/atom; formation energy without anion corrections = -1.690 eV per atom
1.0
3.274 1.890 5.310
-3.274 1.890 5.310
0.000 -3.780 5.310
Hf Zr U N
3 4 1 8
Cartesian
-1.637 -0.945 5.310
-1.637 0.945 10.619
0.000 1.890 5.310
-3.274 0.000 7.964
-1.637 0.945 2.655
1.637 0.945 2.655
0.000 0.000 7.964
0.000 0.000 0.000
0.000 -1.853 6.582
-1.604 0.926 6.582
0.000 0.000 4.055
-1.604 -0.926 9.347
1.604 0.926 6.582
0.000 0.000 11.873
1.604 -0.926 9.347
0.000 1.853 9.347

***

LiBe2Ni3 | Alexandria | PBE | relaxed; ΔH_f (0 K) = -1.8 eV/f.u.; crystal system = tetragonal; symmetry = P4/mmm; calculated volume = 10.0 A^3/atom; total energy = -4.748 eV/atom
1.0
2.541 0.000 0.000
0.000 2.541 0.000
0.000 0.000 9.248
Li Be Ni
1 2 3
Cartesian
0.000 0.000 0.000
0.000 0.000 3.229
0.000 0.000 6.019
1.271 1.271 1.922
1.271 1.271 4.624
1.271 1.271 7.326